# NaBeH

A relaxed structure of NaBeH (PBE, the Alexandria database).

Properties
- E_tot (eV/atom) = -2.66
- size of the total moment (μB per formula unit) = 0.00
- D(E_F) (states/eV/cell) = 0.3
- crystal system = monoclinic

abc: 4.0022 4.9093 8.9416
angles: 90.00 90.20 90.00
With the nearest neighbours (Å) after each atom.
Fractional coordinates of all 12 atoms:
Na 0.7504 0.4895 0.1671  4 H 2.53-2.70
Na 0.2496 0.4895 0.8329  4 H 2.53-2.70
Na 0.7504 0.9895 0.6671  4 H 2.53-2.70
Na 0.2496 0.9895 0.3329  4 H 2.53-2.70
Be 0.5000 0.4998 0.5000  2 H 1.49
Be 0.5000 0.9998 0.0000  2 H 1.49
Be 0.0000 0.9999 0.0000  2 H 1.49
Be 0.0000 0.4999 0.5000  2 H 1.49
H 0.2505 0.8105 0.0676  2 Be 1.49
H 0.7495 0.8105 0.9324  2 Be 1.49
H 0.2505 0.3105 0.5676  2 Be 1.49
H 0.7495 0.3105 0.4324  2 Be 1.49